# 1
! PBE-GGA Te2OsCSe, optimized geometry; values from VASP
&SYSTEM
  ibrav = 0, nat = 5, ntyp = 4
/
ATOMIC_SPECIES
Os 190.23 Os.upf
C 12.01 C.upf
Te 127.60 Te.upf
Se 78.96 Se.upf
ATOMIC_POSITIONS angstrom
Os -3.8421 -0.5666 0.2785
C 0.0000 0.0000 0.0000
Te -1.0570 -1.7611 1.0664
Te -1.5459 1.4706 0.8964
Se -1.2392 -0.2761 -1.6842
CELL_PARAMETERS angstrom
-3.0919 2.9412 1.7927
-2.4783 -0.5521 -3.3685
-2.1141 -3.5223 2.1327
! symmetry: P4/mmm (123)
! ΔE_f (raw): 1.543 eV/atom
! D(E_F): 2.43 states/eV/f.u.

# 2
! PBE-GGA Th6Os2CSe3, optimized geometry; values from VASP
&SYSTEM
  ibrav = 0, nat = 12, ntyp = 4
/
ATOMIC_SPECIES
Os 190.23 Os.upf
Se 78.96 Se.upf
Th 232.04 Th.upf
C 12.01 C.upf
ATOMIC_POSITIONS angstrom
Os -1.4718 1.5608 2.7264
Os -4.7664 3.3048 4.5576
Se -2.8532 5.4044 1.2532
Se -3.3850 -0.5388 6.0308
Se -3.6549 -2.0661 2.2556
Th -2.3446 2.3771 0.1668
Th -3.8936 2.4886 7.1171
Th -4.1514 0.7842 3.3101
Th -5.4062 5.6858 5.8415
Th -0.8320 -0.8202 1.4425
Th -2.0868 4.0814 3.9739
C -1.7736 0.0575 -0.9904
CELL_PARAMETERS angstrom
-3.5472 0.1149 -1.9807
-3.7627 -4.2471 6.4919
1.0717 8.9978 2.7727
! symmetry: C2/m (12)
! ΔE_f (raw): -0.968 eV/atom
! D(E_F): 9.86 states/eV/f.u.

# 3
! PBE-GGA Th4OsC2Se, optimized geometry; values from VASP
&SYSTEM
  ibrav = 0, nat = 8, ntyp = 4
/
ATOMIC_SPECIES
Th 232.04 Th.upf
Os 190.23 Os.upf
C 12.01 C.upf
Se 78.96 Se.upf
ATOMIC_POSITIONS angstrom
Th -1.8050 -5.8981 -0.9389
Th -1.4234 -3.9569 2.3155
Th -1.7418 -2.2671 -0.9348
Th 1.2267 -4.2689 -2.2332
Os -0.3077 -2.0391 -3.3840
C -0.0984 -4.1129 0.0411
C -3.1408 -2.0133 1.4691
Se 0.0000 0.0000 0.0000
CELL_PARAMETERS angstrom
-3.3501 0.0606 -1.9560
2.7348 -4.1387 -4.8120
-2.9315 -4.0871 4.8943
! symmetry: P2/m (10)
! ΔE_f (raw): -0.560 eV/atom
! D(E_F): 5.23 states/eV/f.u.

# 4
! PBE-GGA Th8OsC3Se4, optimized geometry; values from VASP
&SYSTEM
  ibrav = 0, nat = 16, ntyp = 4
/
ATOMIC_SPECIES
Se 78.96 Se.upf
Th 232.04 Th.upf
C 12.01 C.upf
Os 190.23 Os.upf
ATOMIC_POSITIONS angstrom
Se 3.9711 0.0000 0.0000
Se -1.9856 -1.9847 2.8095
Se 1.9856 -1.9847 2.8095
Se 0.0000 0.0000 0.0000
Th 3.9711 4.0047 2.8287
Th 5.8715 2.2992 0.2796
Th 0.0000 0.3774 3.0735
Th 1.9004 2.0829 5.6227
Th 2.0707 2.2992 0.2796
Th 3.9711 0.4000 2.9687
Th -1.9004 2.0829 5.6227
Th 0.0000 3.9821 2.9335
C 1.9856 2.1911 2.9511
C 3.9711 4.1758 0.1416
C -1.9856 2.1911 2.9511
Os 0.0000 4.1758 0.1416
CELL_PARAMETERS angstrom
7.9423 0.0000 0.0000
0.0000 8.3516 0.2832
-3.9711 -3.9695 5.6190
! symmetry: R-3m (166)
! ΔE_f (raw): -0.996 eV/atom
! D(E_F): 10.98 states/eV/f.u.

# 5
! PBE-GGA YOsC2Se, optimized geometry; values from VASP
&SYSTEM
  ibrav = 0, nat = 5, ntyp = 4
/
ATOMIC_SPECIES
Os 190.23 Os.upf
C 12.01 C.upf
Se 78.96 Se.upf
Y 88.91 Y.upf
ATOMIC_POSITIONS angstrom
Os 2.1736 -2.9891 1.2792
C 0.8114 -1.3507 -1.2910
C -0.8187 -1.5222 1.0780
Se 0.0000 0.0000 0.0000
Y 2.1809 -0.1162 1.4923
CELL_PARAMETERS angstrom
-1.6374 -3.0444 2.1560
1.6228 -2.7014 -2.5820
4.3618 -0.2324 2.9845
! symmetry: P4/mmm (123)
! ΔE_f (raw): 2.393 eV/atom
! D(E_F): 3.39 states/eV/f.u.

# 6
! PBE-GGA SiOsC2, optimized geometry; values from VASP
&SYSTEM
  ibrav = 0, nat = 8, ntyp = 3
/
ATOMIC_SPECIES
Os 190.23 Os.upf
C 12.01 C.upf
Si 28.09 Si.upf
ATOMIC_POSITIONS angstrom
Os 4.6030 2.3015 2.1773
Os 0.0000 0.0000 0.0000
C 5.7537 5.6583 3.2659
C 3.4522 3.5477 3.2659
C 3.3568 1.1507 1.0886
C 1.2462 3.4522 1.0886
Si 2.3015 2.3015 0.0000
Si 2.3015 4.6030 2.1773
CELL_PARAMETERS angstrom
4.6030 0.0000 0.0000
0.0000 4.6030 0.0000
2.3015 2.3015 4.3546
! symmetry: I-42d (122)
! ΔE_f (raw): 0.578 eV/atom
! D(E_F): 2.88 states/eV/f.u.

# 7
! PBE-GGA SiOsC3, optimized geometry; values from VASP
&SYSTEM
  ibrav = 0, nat = 5, ntyp = 3
/
ATOMIC_SPECIES
C 12.01 C.upf
Si 28.09 Si.upf
Os 190.23 Os.upf
ATOMIC_POSITIONS angstrom
C 0.0000 1.8520 0.0000
C 0.0000 0.0000 1.8520
C 1.8520 0.0000 0.0000
Si 0.0000 0.0000 0.0000
Os 1.8520 1.8520 1.8520
CELL_PARAMETERS angstrom
3.7039 0.0000 0.0000
0.0000 3.7039 0.0000
0.0000 0.0000 3.7039
! symmetry: Pm-3m (221)
! ΔE_f (raw): 2.364 eV/atom
! energy above the lowest structure with this stoichiometry: 0.236 eV/atom
! D(E_F): 3.18 states/eV/f.u.

# 8
! PBE-GGA SiOs3C, optimized geometry; values from VASP
&SYSTEM
  ibrav = 0, nat = 5, ntyp = 3
/
ATOMIC_SPECIES
Os 190.23 Os.upf
Si 28.09 Si.upf
C 12.01 C.upf
ATOMIC_POSITIONS angstrom
Os 0.8868 -1.3645 1.1874
Os -1.7483 -0.9856 0.1732
Os -0.4636 1.1068 1.6181
Si -1.3252 -1.2433 2.9787
C 0.0000 0.0000 0.0000
CELL_PARAMETERS angstrom
-0.9273 2.2136 3.2361
-3.4967 -1.9712 0.3464
1.7736 -2.7289 2.3748
! symmetry: Pm-3m (221)
! ΔE_f (raw): 0.600 eV/atom
! energy above the lowest structure with this stoichiometry: 0.000 eV/atom
! D(E_F): 1.63 states/eV/f.u.

# 9
! PBE-GGA SiOsC3, optimized geometry; values from VASP
&SYSTEM
  ibrav = 0, nat = 5, ntyp = 3
/
ATOMIC_SPECIES
C 12.01 C.upf
Si 28.09 Si.upf
Os 190.23 Os.upf
ATOMIC_POSITIONS angstrom
C -1.6914 -1.0187 -0.3211
C 1.0282 -1.3903 -1.0057
C -0.2889 1.0154 -1.6991
Si -0.9521 -1.3935 -3.0260
Os 0.0000 0.0000 0.0000
CELL_PARAMETERS angstrom
-0.5779 2.0309 -3.3983
2.0565 -2.7806 -2.0114
-3.3828 -2.0373 -0.6423
! symmetry: Pm-3m (221)
! ΔE_f (raw): 2.128 eV/atom
! energy above the lowest structure with this stoichiometry: 0.000 eV/atom
! D(E_F): 4.02 states/eV/f.u.

# 10
! PBE-GGA Sm2SiOsC, optimized geometry; values from VASP
&SYSTEM
  ibrav = 0, nat = 10, ntyp = 4
/
ATOMIC_SPECIES
Sm 150.36 Sm.upf
Os 190.23 Os.upf
C 12.01 C.upf
Si 28.09 Si.upf
ATOMIC_POSITIONS angstrom
Sm 3.0686 4.8148 0.1727
Sm 1.0229 0.2376 3.1385
Sm 3.0686 3.2719 4.9571
Sm 1.0229 -1.3053 7.9228
Os 1.0229 1.0626 6.0421
Os 3.0686 2.4469 2.0534
C 3.0686 0.6885 1.3973
C 1.0229 2.8209 6.6982
Si 3.0686 -0.0536 5.6814
Si 1.0229 3.5631 2.4142
CELL_PARAMETERS angstrom
4.0914 0.0000 0.0000
0.0000 6.3221 -0.0734
0.0000 -2.8126 8.1689
! symmetry: P2_1/m (11)
! ΔE_f (raw): -0.390 eV/atom
! D(E_F): 2.66 states/eV/f.u.

# 11
! PBE-GGA SmSiOs2C, optimized geometry; values from VASP
&SYSTEM
  ibrav = 0, nat = 10, ntyp = 4
/
ATOMIC_SPECIES
Os 190.23 Os.upf
Sm 150.36 Sm.upf
C 12.01 C.upf
Si 28.09 Si.upf
ATOMIC_POSITIONS angstrom
Os -3.7185 3.9005 5.8513
Os -5.0507 0.2872 -1.4534
Os -1.9054 1.9855 5.1239
Os -3.2377 -1.6277 -2.1807
Sm -2.5591 -0.1999 0.8956
Sm -4.3970 2.4726 2.7749
C -2.3784 2.5121 0.9542
C 0.0000 0.0000 0.0000
Si -1.0123 0.2591 3.5429
Si -5.9439 2.0136 0.1276
CELL_PARAMETERS angstrom
-3.8748 -2.1993 -3.8683
1.6755 -0.5523 5.6304
-4.7569 5.0243 1.9084
! symmetry: Cmcm (63)
! ΔE_f (raw): -0.500 eV/atom
! D(E_F): 2.34 states/eV/f.u.

# 12
! PBE-GGA TaSi2OsC, optimized geometry; values from VASP
&SYSTEM
  ibrav = 0, nat = 5, ntyp = 4
/
ATOMIC_SPECIES
Si 28.09 Si.upf
C 12.01 C.upf
Ta 180.95 Ta.upf
Os 190.23 Os.upf
ATOMIC_POSITIONS angstrom
Si -1.3088 0.3570 1.6484
Si -0.1870 -2.1044 0.3072
C 0.0000 0.0000 0.0000
Ta -2.9798 -1.7863 0.7858
Os -1.4840 -0.0389 -1.1698
CELL_PARAMETERS angstrom
-2.6177 0.7139 3.2969
-2.9679 -0.0778 -2.3396
-0.3741 -4.2088 0.6144
! symmetry: P4/mmm (123)
! ΔE_f (raw): 0.611 eV/atom
! D(E_F): 3.41 states/eV/f.u.

# 13
! PBE-GGA ThSiOsC, optimized geometry; values from VASP
&SYSTEM
  ibrav = 0, nat = 8, ntyp = 4
/
ATOMIC_SPECIES
Os 190.23 Os.upf
Th 232.04 Th.upf
Si 28.09 Si.upf
C 12.01 C.upf
ATOMIC_POSITIONS angstrom
Os 3.6563 2.0638 2.8703
Os 4.1462 0.7146 0.4390
Th 6.8517 0.6575 2.6553
Th 0.9508 2.1210 0.6540
Si 5.0551 2.8283 1.0885
Si 2.7474 -0.0499 2.2208
C 0.9307 -0.3630 2.0284
C 6.8718 3.1414 1.2809
CELL_PARAMETERS angstrom
-0.7606 3.7831 1.0260
-0.2193 -1.0846 3.8365
8.2924 1.4292 0.8780
! symmetry: P4/nmm (129)
! ΔE_f (raw): -0.503 eV/atom
! D(E_F): 2.14 states/eV/f.u.

# 14
! PBE-GGA TmSiOs2C, optimized geometry; values from VASP
&SYSTEM
  ibrav = 0, nat = 10, ntyp = 4
/
ATOMIC_SPECIES
Os 190.23 Os.upf
C 12.01 C.upf
Tm 168.93 Tm.upf
Si 28.09 Si.upf
ATOMIC_POSITIONS angstrom
Os 0.1585 4.4717 6.5171
Os -4.6173 2.4964 0.0427
Os -4.0698 0.0842 -1.1258
Os 0.7060 2.0595 5.3486
C 0.0000 0.0000 0.0000
C -0.7107 3.1315 1.5169
Tm -1.9304 3.7635 3.7980
Tm -1.9809 0.7924 1.5933
Si -4.2029 4.2424 1.7447
Si 0.2915 0.3135 3.6466
CELL_PARAMETERS angstrom
-5.3335 0.0081 -2.5156
2.8436 -1.7151 4.8730
-1.4215 6.2630 3.0339
! symmetry: Cmcm (63)
! ΔE_f (raw): -0.501 eV/atom
! D(E_F): 1.73 states/eV/f.u.

# 15
! PBE-GGA YSiOs2C, optimized geometry; values from VASP
&SYSTEM
  ibrav = 0, nat = 10, ntyp = 4
/
ATOMIC_SPECIES
C 12.01 C.upf
Os 190.23 Os.upf
Y 88.91 Y.upf
Si 28.09 Si.upf
ATOMIC_POSITIONS angstrom
C 0.0000 0.0000 0.0000
C -0.8395 0.9924 3.3226
Os -2.2502 -2.1502 7.2885
Os -1.6069 -2.9107 4.7421
Os -3.0140 2.7343 -1.1306
Os -3.6573 3.4948 1.4157
Y -2.3715 0.2660 1.2369
Y -2.8927 0.3180 4.9209
Si -1.4385 -2.4905 2.2960
Si -3.8257 3.0746 3.8618
CELL_PARAMETERS angstrom
-3.4697 4.2545 -2.1474
-0.1155 -5.6552 1.6599
-1.6790 1.9848 6.6453
! symmetry: Cmcm (63)
! ΔE_f (raw): -0.514 eV/atom
! D(E_F): 1.95 states/eV/f.u.

# 16
! PBE-GGA Sm2OsC2, optimized geometry; values from VASP
&SYSTEM
  ibrav = 0, nat = 20, ntyp = 3
/
ATOMIC_SPECIES
Os 190.23 Os.upf
C 12.01 C.upf
Sm 150.36 Sm.upf
ATOMIC_POSITIONS angstrom
Os 3.9741 4.7694 8.6304
Os 1.3247 5.0055 3.6157
Os 3.9741 1.5111 6.4137
Os 1.3247 1.7472 1.3990
C 1.3247 1.1874 9.5785
C 1.3247 0.1967 2.5779
C 3.9741 2.0709 4.5637
C 3.9741 3.0616 7.5926
C 1.3247 3.4550 2.4368
C 3.9741 6.3199 7.4515
C 1.3247 4.4457 5.4657
C 3.9741 5.3292 0.4510
Sm 3.9741 3.3981 2.2080
Sm 1.3247 2.0095 4.5198
Sm 3.9741 0.1398 2.8067
Sm 3.9741 4.5071 5.5097
Sm 1.3247 5.2678 0.4950
Sm 1.3247 3.1185 7.8214
Sm 1.3247 6.3768 7.2227
Sm 3.9741 1.2488 9.5345
CELL_PARAMETERS angstrom
5.2989 0.0000 0.0000
0.0000 6.5166 0.0000
0.0000 0.0000 10.0294
! symmetry: Pnma (62)
! DFT formation energy: -0.296 eV/atom
! energy above the lowest structure with this stoichiometry: 0.000 eV/atom
! D(E_F): 2.03 states/eV/f.u.

# 17
! PBE-GGA Sm3OsC3, optimized geometry; values from VASP
&SYSTEM
  ibrav = 0, nat = 14, ntyp = 3
/
ATOMIC_SPECIES
C 12.01 C.upf
Os 190.23 Os.upf
Sm 150.36 Sm.upf
ATOMIC_POSITIONS angstrom
C 1.3173 5.9774 0.1444
C 3.9518 3.5225 5.2742
C 3.9518 0.3876 5.9665
C 3.9518 0.9517 2.8060
C 1.3173 5.4133 3.3049
C 1.3173 2.8425 0.8367
Os 3.9518 1.7329 4.5653
Os 1.3173 4.6321 1.5457
Sm 1.3173 3.6399 5.2807
Sm 3.9518 5.4245 3.4218
Sm 3.9518 2.7251 0.8302
Sm 1.3173 0.9405 2.6891
Sm 1.3173 0.2780 6.0808
Sm 3.9518 6.0870 0.0301
CELL_PARAMETERS angstrom
5.2690 0.0000 0.0000
0.0000 6.8829 -0.7988
0.0000 -0.5179 6.9097
! symmetry: Cmcm (63)
! DFT formation energy: -0.259 eV/atom
! D(E_F): 3.52 states/eV/f.u.

# 18
! PBE-GGA Sm2OsC, optimized geometry; values from VASP
&SYSTEM
  ibrav = 0, nat = 4, ntyp = 3
/
ATOMIC_SPECIES
C 12.01 C.upf
Sm 150.36 Sm.upf
Os 190.23 Os.upf
ATOMIC_POSITIONS angstrom
C 1.7688 0.0339 -0.4612
Sm 2.8017 3.2831 3.6098
Sm 0.4029 0.5063 1.5816
Os 1.5692 1.8758 6.1788
CELL_PARAMETERS angstrom
3.5425 -0.0006 -0.9033
-0.2675 3.7614 -1.0531
-0.0657 -0.0387 7.1666
! symmetry: Immm (71)
! DFT formation energy: -0.152 eV/atom
! energy above the lowest structure with this stoichiometry: 0.000 eV/atom
! D(E_F): 3.51 states/eV/f.u.

# 19
! PBE-GGA Sm2OsC2, optimized geometry; values from VASP
&SYSTEM
  ibrav = 0, nat = 20, ntyp = 3
/
ATOMIC_SPECIES
Os 190.23 Os.upf
C 12.01 C.upf
Sm 150.36 Sm.upf
ATOMIC_POSITIONS angstrom
Os 1.8752 -3.2975 4.5926
Os 5.8734 -3.2571 2.6479
Os 7.4902 -2.1809 -0.6519
Os 3.4920 -2.2214 1.2928
C 2.8479 -2.8137 3.0095
C 6.5274 -2.5451 4.4709
C 3.5246 -6.7052 0.4528
C 6.0830 -5.1245 3.0419
C 5.8408 1.2268 3.4878
C 2.8380 -2.9334 -0.5302
C 6.5175 -2.6647 0.9312
C 3.2824 -0.3539 0.8988
Sm 0.6214 -3.4247 1.6236
Sm 1.1255 -1.0464 -0.5572
Sm 3.5197 -5.4275 2.7207
Sm 8.2398 -4.4320 4.4978
Sm 4.2957 -1.2053 4.4525
Sm 5.0697 -4.2731 -0.5119
Sm 5.8457 -0.0510 1.2200
Sm 8.7440 -2.0538 2.3170
CELL_PARAMETERS angstrom
-1.0591 -4.6971 4.4125
3.4941 -4.0889 -3.5141
6.9304 3.3077 3.0422
! symmetry: P2_1/c (14)
! DFT formation energy: -0.121 eV/atom
! energy above the lowest structure with this stoichiometry: 0.175 eV/atom
! D(E_F): 1.83 states/eV/f.u.

# 20
! PBE-GGA Sm2OsC, optimized geometry; values from VASP
&SYSTEM
  ibrav = 0, nat = 8, ntyp = 3
/
ATOMIC_SPECIES
C 12.01 C.upf
Os 190.23 Os.upf
Sm 150.36 Sm.upf
ATOMIC_POSITIONS angstrom
C 0.8559 -0.3787 5.7488
C 2.5677 1.8171 3.0750
Os 0.8559 1.6592 2.1007
Os 2.5677 -0.2208 6.7230
Sm 2.5677 -2.4970 8.8870
Sm 2.5677 -0.7076 3.7225
Sm 0.8559 3.9353 -0.0632
Sm 0.8559 2.1460 5.1013
CELL_PARAMETERS angstrom
3.4237 0.0000 0.0000
0.0000 5.1250 -0.8323
0.0000 -3.6866 9.6560
! symmetry: Pmmn (59)
! DFT formation energy: -0.052 eV/atom
! energy above the lowest structure with this stoichiometry: 0.101 eV/atom
! D(E_F): 3.41 states/eV/f.u.

# 21
! PBE-GGA SmOsC2, optimized geometry; values from VASP
&SYSTEM
  ibrav = 0, nat = 4, ntyp = 3
/
ATOMIC_SPECIES
C 12.01 C.upf
Os 190.23 Os.upf
Sm 150.36 Sm.upf
ATOMIC_POSITIONS angstrom
C 5.0200 2.8983 4.3194
C 1.6733 0.9661 1.0178
Os 0.0000 0.0000 0.0000
Sm 3.3467 1.9322 2.6686
CELL_PARAMETERS angstrom
3.3467 0.0000 0.0000
1.6733 2.8983 0.0000
1.6733 0.9661 5.3372
! symmetry: R-3m (166)
! DFT formation energy: 0.352 eV/atom
! D(E_F): 1.30 states/eV/f.u.

# 22
! PBE-GGA Sm2OsC, optimized geometry; values from VASP
&SYSTEM
  ibrav = 0, nat = 4, ntyp = 3
/
ATOMIC_SPECIES
Os 190.23 Os.upf
C 12.01 C.upf
Sm 150.36 Sm.upf
ATOMIC_POSITIONS angstrom
Os 0.0000 0.0000 0.0000
C 3.4522 1.9931 4.1729
Sm 5.1783 2.9897 2.7211
Sm 1.7261 0.9966 5.6247
CELL_PARAMETERS angstrom
3.4522 0.0000 0.0000
1.7261 2.9897 0.0000
1.7261 0.9966 8.3458
! symmetry: R-3m (166)
! DFT formation energy: 0.766 eV/atom
! energy above the lowest structure with this stoichiometry: 0.918 eV/atom
! D(E_F): 4.07 states/eV/f.u.

# 23
! PBE-GGA Sm2Os2C3, optimized geometry; values from VASP
&SYSTEM
  ibrav = 0, nat = 7, ntyp = 3
/
ATOMIC_SPECIES
Sm 150.36 Sm.upf
Os 190.23 Os.upf
C 12.01 C.upf
ATOMIC_POSITIONS angstrom
Sm -1.1864 -4.3506 -0.9485
Sm 2.5768 -1.6116 2.9730
Os 0.5215 -4.2277 1.6895
Os 0.8688 -1.7345 0.3350
C 0.1310 -2.2275 2.2229
C 1.2593 -3.7347 -0.1984
C 0.0000 0.0000 0.0000
CELL_PARAMETERS angstrom
-2.7538 -1.0258 1.8307
-0.6852 -4.4505 -3.5245
4.8294 -0.4859 3.7182
! symmetry: C2/m (12)
! DFT formation energy: -0.155 eV/atom
! D(E_F): 2.56 states/eV/f.u.